# Ce6Cd5Hg GGA-PBE optimized geometry
data_Ce6Cd5Hg
_symmetry_space_group_name_H-M 'P 1'
_symmetry_Int_Tables_number 1
_cell_length_a 5.9002
_cell_length_b 6.3848
_cell_length_c 8.6663
_cell_angle_alpha 68.65
_cell_angle_beta 85.26
_cell_angle_gamma 89.76
loop_
_symmetry_equiv_pos_as_xyz
'x,y,z'
loop_
_atom_site_label
_atom_site_type_symbol
_atom_site_fract_x
_atom_site_fract_y
_atom_site_fract_z
Ce1 Ce 0.0114 0.2330 0.4889
Ce2 Ce 0.3250 0.3898 0.1783
Ce3 Ce 0.3488 0.9437 0.1547
Ce4 Ce 0.6512 0.0563 0.8453
Ce5 Ce 0.6750 0.6102 0.8217
Ce6 Ce 0.9886 0.7670 0.5111
Cd1 Cd 0.1623 0.8275 0.8450
Cd2 Cd 0.1644 0.3377 0.8253
Cd3 Cd 0.5000 0.5000 0.5000
Cd4 Cd 0.8356 0.6623 0.1747
Cd5 Cd 0.8377 0.1725 0.1550
Hg1 Hg 0.5000 0.0000 0.5000
# crystal system = triclinic
# energy of formation from the pure elements = -4.51 kcal/mol of atoms
# SG = No. 2
# total magnetization = 3.5 μB per formula unit

# Ce3Cd2Hg6 GGA-PBE optimized geometry
data_Ce3Cd2Hg6
_symmetry_space_group_name_H-M 'P 1'
_symmetry_Int_Tables_number 1
_cell_length_a 17.0141
_cell_length_b 17.0141
_cell_length_c 17.0141
_cell_angle_alpha 165.50
_cell_angle_beta 165.50
_cell_angle_gamma 20.57
loop_
_symmetry_equiv_pos_as_xyz
'x,y,z'
loop_
_atom_site_label
_atom_site_type_symbol
_atom_site_fract_x
_atom_site_fract_y
_atom_site_fract_z
Ce1 Ce 0.0000 0.0000 0.0000
Ce2 Ce 0.1787 0.1787 0.0000
Ce3 Ce 0.8213 0.8213 0.0000
Cd1 Cd 0.3635 0.3635 0.0000
Cd2 Cd 0.6365 0.6365 0.0000
Hg1 Hg 0.0729 0.5729 0.5000
Hg2 Hg 0.2741 0.2741 0.0000
Hg3 Hg 0.4271 0.9271 0.5000
Hg4 Hg 0.5729 0.0729 0.5000
Hg5 Hg 0.7259 0.7259 0.0000
Hg6 Hg 0.9271 0.4271 0.5000
# crystal system = tetragonal
# energy of formation from the pure elements = -2.32 kcal/mol of atoms
# SG = No. 139
# total magnetization = 4.2 μB per formula unit

# CeCd7Hg12 GGA-PBE optimized geometry
data_CeCd7Hg12
_symmetry_space_group_name_H-M 'P 1'
_symmetry_Int_Tables_number 1
_cell_length_a 9.4300
_cell_length_b 9.4300
_cell_length_c 9.4300
_cell_angle_alpha 109.47
_cell_angle_beta 109.47
_cell_angle_gamma 109.47
loop_
_symmetry_equiv_pos_as_xyz
'x,y,z'
loop_
_atom_site_label
_atom_site_type_symbol
_atom_site_fract_x
_atom_site_fract_y
_atom_site_fract_z
Ce1 Ce 0.0000 0.0000 0.0000
Cd1 Cd 0.0000 0.0000 0.5000
Cd2 Cd 0.0000 0.5000 0.0000
Cd3 Cd 0.0000 0.5000 0.5000
Cd4 Cd 0.5000 0.0000 0.0000
Cd5 Cd 0.5000 0.0000 0.5000
Cd6 Cd 0.5000 0.5000 0.0000
Cd7 Cd 0.5000 0.5000 0.5000
Hg1 Hg 0.1238 0.2750 0.8488
Hg2 Hg 0.1512 0.4263 0.2750
Hg3 Hg 0.1512 0.8762 0.7250
Hg4 Hg 0.2750 0.1512 0.4263
Hg5 Hg 0.2750 0.8488 0.1238
Hg6 Hg 0.4263 0.2750 0.1512
Hg7 Hg 0.5737 0.7250 0.8488
Hg8 Hg 0.7250 0.1512 0.8762
Hg9 Hg 0.7250 0.8488 0.5737
Hg10 Hg 0.8488 0.1238 0.2750
Hg11 Hg 0.8488 0.5737 0.7250
Hg12 Hg 0.8762 0.7250 0.1512
# crystal system = cubic
# energy of formation from the pure elements = 2.16 kcal/mol of atoms
# SG = No. 204
# total magnetization = 1.5 μB per formula unit